Compound: HoEr3Pd2
Source: the Alexandria database
Functional: PBE-GGA
Structure: optimized geometry

```
HoEr3Pd2
1.0
-3.436 6.790 3.524
3.436 -6.790 3.524
3.436 6.790 -3.524
Ho Er Pd
2 6 4
Cartesian
0.000 0.000 0.000 Ho
0.000 0.000 3.524 Ho
3.436 3.619 -1.762 Er
3.436 0.000 1.762 Er
0.000 3.171 1.762 Er
3.436 3.619 1.762 Er
0.000 6.790 1.762 Er
0.000 3.171 5.287 Er
4.870 1.906 0.000 Pd
1.434 4.883 0.000 Pd
2.003 1.906 3.524 Pd
-1.434 4.883 3.524 Pd
```

Calculated values
Distance to the lowest polymorph of the same formula = 98 meV/atom
E_form = -0.52 eV/atom



Compound: AsPAu2
Source: the Alexandria database
Functional: PBE-GGA
Structure: optimized geometry

```
AsPAu2
1.0
-2.062 2.062 4.237
2.062 -2.062 4.237
2.062 2.062 -4.237
As P Au
1 1 2
Cartesian
0.000 0.000 0.000 As
0.000 2.062 2.119 P
2.062 0.000 2.119 Au
0.000 0.000 4.237 Au
```

Calculated values
Distance to the lowest polymorph of the same formula = 284 meV/atom
E_form = 0.41 eV/atom



Compound: Ac7Pm12Sm
Source: the Alexandria database
Functional: PBE-GGA
Structure: optimized geometry

```
Ac7Pm12Sm
1.0
-6.161 6.161 6.161
6.161 -6.161 6.161
6.161 6.161 -6.161
Ac Pm Sm
7 12 1
Cartesian
3.081 3.081 -3.081 Ac
3.081 -3.081 3.081 Ac
6.161 0.000 0.000 Ac
-3.081 3.081 3.081 Ac
0.000 6.161 0.000 Ac
0.000 0.000 6.161 Ac
3.081 3.081 3.081 Ac
6.161 3.632 -3.632 Pm
6.161 -3.632 3.632 Pm
3.632 6.161 -3.632 Pm
2.530 2.530 0.000 Pm
2.530 0.000 2.530 Pm
3.632 -3.632 6.161 Pm
0.000 2.530 2.530 Pm
6.161 3.632 3.632 Pm
-3.632 6.161 3.632 Pm
-3.632 3.632 6.161 Pm
3.632 6.161 3.632 Pm
3.632 3.632 6.161 Pm
0.000 0.000 0.000 Sm
```

Calculated values
E_form = 0.70 eV/atom



Compound: AsRhBr2F
Source: the Alexandria database
Functional: PBE-GGA
Structure: optimized geometry

```
AsRhBr2F
1.0
5.095 0.000 0.000
0.000 5.095 0.000
0.000 0.000 4.664
As Rh Br F
1 1 2 1
Cartesian
0.000 0.000 0.000 As
0.000 0.000 2.332 Rh
0.000 2.548 2.332 Br
2.548 0.000 2.332 Br
2.548 2.548 0.000 F
```

Calculated values
Distance to the lowest polymorph of the same formula = 0 meV/atom
ΔE_f (raw) = 0.100 eV/atom



Compound: NiH2Ir2
Source: the Alexandria database
Functional: PBE-GGA
Structure: optimized geometry

```
NiH2Ir2
1.0
-1.498 1.498 5.241
1.498 -1.498 5.241
1.498 1.498 -5.241
Ni H Ir
1 2 2
Cartesian
0.000 0.000 0.000 Ni
1.498 0.000 2.620 H
0.000 1.498 2.620 H
0.000 0.000 3.799 Ir
0.000 0.000 6.682 Ir
```

Calculated values
Distance to the lowest polymorph of the same formula = 141 meV/atom



Compound: ZrAlZnRh
Source: the Alexandria database
Functional: PBE-GGA
Structure: optimized geometry

```
ZrAlZnRh
1.0
0.000 3.188 3.188
3.188 0.000 3.188
3.188 3.188 0.000
Zr Al Zn Rh
1 1 1 1
Cartesian
0.000 0.000 0.000 Zr
3.188 3.188 3.188 Al
1.594 1.594 1.594 Zn
4.783 4.783 4.783 Rh
```

Calculated values
E_form = -0.63 eV/atom